Entry 1:
VASP calculation (PBE) on crystalline Sr2TlCd at its relaxed geometry.

Calculated values
Its energy relative to the elements is -0.39 eV per atom. Its space group is Fm-3m (225). The calculation puts the total DFT energy (no corrections) at -8.22 eV for the cell shown.

Cell: 5.774 5.774 5.774 Å, 60.00 60.00 60.00°
Fractional coordinates of all 4 atoms:
1 Sr 0.250 0.250 0.250
2 Sr 0.750 0.750 0.750
3 Tl 0.000 0.000 0.000
4 Cd 0.500 0.500 0.500



Entry 2:
VASP calculation (PBE) on crystalline SrTl6Cd6 at its relaxed geometry.

Calculated values
Its energy relative to the elements is -0.07 eV per atom. Its space group is Immm (71). The calculation puts the total DFT energy (no corrections) at -22.27 eV for the cell shown.

Cell: 8.342 8.342 8.342 Å, 137.69 101.53 93.48°
Fractional coordinates of all 13 atoms:
1 Sr 0.000 0.000 0.000
2 Tl 0.186 0.500 0.686
3 Tl 0.348 0.000 0.348
4 Tl 0.356 0.356 0.000
5 Tl 0.644 0.644 0.000
6 Tl 0.652 0.000 0.652
7 Tl 0.814 0.500 0.314
8 Cd 0.000 0.000 0.500
9 Cd 0.000 0.500 0.000
10 Cd 0.224 0.724 0.500
11 Cd 0.500 0.000 0.000
12 Cd 0.500 0.500 0.500
13 Cd 0.776 0.276 0.500



Entry 3:
VASP calculation (PBE) on crystalline Sr2TlCd at its relaxed geometry.

Calculated values
Its energy relative to the elements is -0.20 eV per atom. Its space group is R-3m (166). The calculation puts the total DFT energy (no corrections) at -7.46 eV for the cell shown.

Cell: 10.353 10.353 10.353 Å, 23.27 23.27 23.27°
Fractional coordinates of all 4 atoms:
1 Sr 0.249 0.249 0.249
2 Sr 0.751 0.751 0.751
3 Tl 0.000 0.000 0.000
4 Cd 0.500 0.500 0.500



Entry 4:
VASP calculation (PBE) on crystalline SrTl3Cd2 at its relaxed geometry.

Calculated values
Its energy relative to the elements is -0.10 eV per atom. The calculation puts the energy above the most stable polymorph in this dataset at 3.1 kJ/mol of atoms. Its space group is Cmcm (63). The calculation puts the total DFT energy (no corrections) at -22.41 eV for the cell shown.

Cell: 8.802 8.802 6.606 Å, 90.00 90.00 45.89°
Fractional coordinates of all 12 atoms:
1 Sr 0.194 0.806 0.750
2 Sr 0.806 0.194 0.250
3 Tl 0.115 0.260 0.750
4 Tl 0.260 0.115 0.250
5 Tl 0.312 0.688 0.250
6 Tl 0.688 0.312 0.750
7 Tl 0.740 0.885 0.750
8 Tl 0.885 0.740 0.250
9 Cd 0.350 0.350 0.000
10 Cd 0.350 0.350 0.500
11 Cd 0.650 0.650 0.000
12 Cd 0.650 0.650 0.500



Entry 5:
VASP calculation (PBE) on crystalline SrTlCd3 at its relaxed geometry.

Calculated values
Its energy relative to the elements is 0.15 eV per atom. The calculation puts the energy above the most stable polymorph in this dataset at 33.7 kJ/mol of atoms. Its space group is Pm-3m (221). The calculation puts the total DFT energy (no corrections) at -6.06 eV for the cell shown.

Cell: 5.626 5.626 5.626 Å, 90.00 90.00 90.00°
Fractional coordinates of all 5 atoms:
1 Sr 0.000 0.000 0.000
2 Tl 0.500 0.500 0.500
3 Cd 0.000 0.500 0.500
4 Cd 0.500 0.000 0.500
5 Cd 0.500 0.500 0.000



Entry 6:
VASP calculation (PBE) on crystalline Sr4TlCd at its relaxed geometry.

Calculated values
Its energy relative to the elements is -0.27 eV per atom. The calculation puts the energy above the most stable polymorph in this dataset at 0.0 kJ/mol of atoms. Its space group is P4/mmm (123). The calculation puts the total DFT energy (no corrections) at -11.62 eV for the cell shown.

Cell: 4.134 4.134 14.320 Å, 90.00 90.00 90.00°
Fractional coordinates of all 6 atoms:
1 Sr 0.000 0.000 0.136
2 Sr 0.000 0.000 0.864
3 Sr 0.500 0.500 0.364
4 Sr 0.500 0.500 0.636
5 Tl 0.000 0.000 0.500
6 Cd 0.500 0.500 0.000



Entry 7:
VASP calculation (PBE) on crystalline Sr2Tl2Cd at its relaxed geometry.

Calculated values
Its energy relative to the elements is -0.29 eV per atom. The calculation puts the energy above the most stable polymorph in this dataset at 7.0 kJ/mol of atoms. Its space group is P4/mbm (127). The calculation puts the total DFT energy (no corrections) at -20.88 eV for the cell shown.

Cell: 8.806 8.806 4.402 Å, 90.00 90.00 90.00°
Fractional coordinates of all 10 atoms:
1 Sr 0.170 0.330 0.000
2 Sr 0.330 0.830 0.000
3 Sr 0.670 0.170 0.000
4 Sr 0.830 0.670 0.000
5 Tl 0.131 0.631 0.500
6 Tl 0.369 0.131 0.500
7 Tl 0.631 0.869 0.500
8 Tl 0.869 0.369 0.500
9 Cd 0.000 0.000 0.500
10 Cd 0.500 0.500 0.500



Entry 8:
VASP calculation (PBE) on crystalline Sr2Tl2Cd at its relaxed geometry.

Calculated values
Its energy relative to the elements is -0.11 eV per atom. The calculation puts the energy above the most stable polymorph in this dataset at 24.3 kJ/mol of atoms. Its space group is I4/mmm (139). The calculation puts the total DFT energy (no corrections) at -9.54 eV for the cell shown.

Cell: 6.463 6.463 6.463 Å, 119.19 119.19 91.41°
Fractional coordinates of all 5 atoms:
1 Sr 0.250 0.750 0.500
2 Sr 0.750 0.250 0.500
3 Tl 0.160 0.160 0.000
4 Tl 0.840 0.840 0.000
5 Cd 0.500 0.500 0.000



Entry 9:
VASP calculation (PBE) on crystalline Sr4TlCd2 at its relaxed geometry.

Calculated values
Its energy relative to the elements is -0.06 eV per atom. The calculation puts the energy above the most stable polymorph in this dataset at 22.4 kJ/mol of atoms. Its space group is I4/mmm (139). The calculation puts the total DFT energy (no corrections) at -11.33 eV for the cell shown.

Cell: 9.286 9.286 9.286 Å, 139.72 139.72 58.27°
Fractional coordinates of all 7 atoms:
1 Sr 0.000 0.500 0.500
2 Sr 0.200 0.200 0.000
3 Sr 0.500 0.000 0.500
4 Sr 0.800 0.800 0.000
5 Tl 0.000 0.000 0.000
6 Cd 0.408 0.408 0.000
7 Cd 0.592 0.592 0.000



Entry 10:
VASP calculation (PBE) on crystalline SrTl6Cd2 at its relaxed geometry.

Calculated values
Its energy relative to the elements is -0.10 eV per atom. The calculation puts the energy above the most stable polymorph in this dataset at 0.0 kJ/mol of atoms. Its space group is C2/m (12). The calculation puts the total DFT energy (no corrections) at -18.61 eV for the cell shown.

Cell: 5.571 5.571 10.034 Å, 92.42 92.42 59.76°
Fractional coordinates of all 9 atoms:
1 Sr 0.000 0.000 0.000
2 Tl 0.002 0.002 0.661
3 Tl 0.333 0.333 0.505
4 Tl 0.336 0.336 0.167
5 Tl 0.664 0.664 0.833
6 Tl 0.667 0.667 0.495
7 Tl 0.998 0.998 0.339
8 Cd 0.331 0.331 0.823
9 Cd 0.669 0.669 0.177



Entry 11:
VASP calculation (PBE) on crystalline Sr3Tl4Cd4 at its relaxed geometry.

Calculated values
Its energy relative to the elements is -0.28 eV per atom. Its space group is P-1 (2). The calculation puts the total DFT energy (no corrections) at -21.21 eV for the cell shown.

Cell: 4.004 5.191 16.226 Å, 80.82 82.98 89.92°
Fractional coordinates of all 11 atoms:
1 Sr 0.000 0.000 0.000
2 Sr 0.144 0.643 0.712
3 Sr 0.856 0.357 0.288
4 Tl 0.312 0.814 0.374
5 Tl 0.459 0.451 0.098
6 Tl 0.541 0.549 0.902
7 Tl 0.688 0.186 0.626
8 Cd 0.261 0.262 0.478
9 Cd 0.408 0.907 0.187
10 Cd 0.592 0.093 0.813
11 Cd 0.739 0.738 0.522



Entry 12:
VASP calculation (PBE) on crystalline SrTlCd11 at its relaxed geometry.

Calculated values
Its energy relative to the elements is -0.08 eV per atom. Its space group is C2/m (12). The calculation puts the total DFT energy (no corrections) at -15.21 eV for the cell shown.

Cell: 7.809 7.809 7.830 Å, 99.01 99.01 132.98°
Fractional coordinates of all 13 atoms:
1 Sr 0.000 0.000 0.000
2 Tl 0.000 0.000 0.500
3 Cd 0.000 0.500 0.000
4 Cd 0.011 0.372 0.351
5 Cd 0.296 0.513 0.789
6 Cd 0.372 0.011 0.351
7 Cd 0.487 0.704 0.211
8 Cd 0.500 0.000 0.000
9 Cd 0.500 0.500 0.500
10 Cd 0.513 0.296 0.789
11 Cd 0.628 0.989 0.649
12 Cd 0.704 0.487 0.211
13 Cd 0.989 0.628 0.649



Entry 13:
VASP calculation (PBE) on crystalline Sr8TlCd2 at its relaxed geometry.

Calculated values
Its energy relative to the elements is -0.19 eV per atom. The calculation puts the energy above the most stable polymorph in this dataset at 0.0 kJ/mol of atoms. Its space group is C2/m (12). The calculation puts the total DFT energy (no corrections) at -19.78 eV for the cell shown.

Cell: 10.679 10.679 8.249 Å, 108.63 108.63 31.66°
Fractional coordinates of all 11 atoms:
1 Sr 0.030 0.030 0.292
2 Sr 0.201 0.201 0.811
3 Sr 0.331 0.331 0.537
4 Sr 0.406 0.406 0.050
5 Sr 0.594 0.594 0.950
6 Sr 0.669 0.669 0.463
7 Sr 0.799 0.799 0.189
8 Sr 0.970 0.970 0.708
9 Tl 0.500 0.500 0.500
10 Cd 0.181 0.181 0.201
11 Cd 0.819 0.819 0.799



Entry 14:
VASP calculation (PBE) on crystalline Sr4TlCd at its relaxed geometry.

Calculated values
Its energy relative to the elements is 0.31 eV per atom. The calculation puts the energy above the most stable polymorph in this dataset at 55.6 kJ/mol of atoms. Its space group is F-43m (216). The calculation puts the total DFT energy (no corrections) at -8.16 eV for the cell shown.

Cell: 7.300 7.300 7.300 Å, 60.00 60.00 60.00°
Fractional coordinates of all 6 atoms:
1 Sr 0.125 0.125 0.125
2 Sr 0.125 0.125 0.625
3 Sr 0.125 0.625 0.125
4 Sr 0.625 0.125 0.125
5 Tl 0.750 0.750 0.750
6 Cd 0.500 0.500 0.500



Entry 15:
VASP calculation (PBE) on crystalline Sr4Tl3Cd at its relaxed geometry.

Calculated values
Its energy relative to the elements is -0.41 eV per atom. Its space group is C2/m (12). The calculation puts the total DFT energy (no corrections) at -18.04 eV for the cell shown.

Cell: 9.130 9.130 5.781 Å, 108.38 108.38 36.91°
Fractional coordinates of all 8 atoms:
1 Sr 0.124 0.124 0.124
2 Sr 0.376 0.376 0.376
3 Sr 0.624 0.624 0.624
4 Sr 0.876 0.876 0.876
5 Tl 0.000 0.000 0.500
6 Tl 0.249 0.249 0.749
7 Tl 0.751 0.751 0.251
8 Cd 0.500 0.500 0.000



Entry 16:
VASP calculation (PBE) on crystalline SrTl6Cd2 at its relaxed geometry.

Calculated values
Its energy relative to the elements is -0.02 eV per atom. The calculation puts the energy above the most stable polymorph in this dataset at 8.2 kJ/mol of atoms. Its space group is C2/m (12). The calculation puts the total DFT energy (no corrections) at -17.85 eV for the cell shown.

Cell: 9.291 9.291 3.568 Å, 99.82 99.82 65.48°
Fractional coordinates of all 9 atoms:
1 Sr 0.000 0.000 0.000
2 Tl 0.016 0.346 0.682
3 Tl 0.331 0.669 0.500
4 Tl 0.346 0.016 0.682
5 Tl 0.654 0.984 0.318
6 Tl 0.669 0.331 0.500
7 Tl 0.984 0.654 0.318
8 Cd 0.357 0.357 0.857
9 Cd 0.643 0.643 0.143



Entry 17:
VASP calculation (PBE) on crystalline Sr3Tl2Cd at its relaxed geometry.

Calculated values
Its energy relative to the elements is -0.40 eV per atom. The calculation puts the energy above the most stable polymorph in this dataset at 0.0 kJ/mol of atoms. Its space group is P4/mmm (123). The calculation puts the total DFT energy (no corrections) at -13.10 eV for the cell shown.

Cell: 4.084 4.084 12.311 Å, 90.00 90.00 90.00°
Fractional coordinates of all 6 atoms:
1 Sr 0.000 0.000 0.000
2 Sr 0.000 0.000 0.334
3 Sr 0.000 0.000 0.666
4 Tl 0.500 0.500 0.166
5 Tl 0.500 0.500 0.834
6 Cd 0.500 0.500 0.500



Entry 18:
VASP calculation (PBE) on crystalline Sr2Tl3Cd2 at its relaxed geometry.

Calculated values
Its energy relative to the elements is -0.25 eV per atom. The calculation puts the energy above the most stable polymorph in this dataset at 1.0 kJ/mol of atoms. Its space group is Cmcm (63). The calculation puts the total DFT energy (no corrections) at -28.10 eV for the cell shown.

Cell: 11.372 11.372 8.319 Å, 90.00 90.00 155.77°
Fractional coordinates of all 14 atoms:
1 Sr 0.059 0.941 0.750
2 Sr 0.158 0.842 0.250
3 Sr 0.842 0.158 0.750
4 Sr 0.941 0.059 0.250
5 Tl 0.229 0.771 0.750
6 Tl 0.439 0.561 0.570
7 Tl 0.439 0.561 0.930
8 Tl 0.561 0.439 0.070
9 Tl 0.561 0.439 0.430
10 Tl 0.771 0.229 0.250
11 Cd 0.314 0.686 0.060
12 Cd 0.314 0.686 0.440
13 Cd 0.686 0.314 0.560
14 Cd 0.686 0.314 0.940



Entry 19:
VASP calculation (PBE) on crystalline SrTlCd10 at its relaxed geometry.

Calculated values
Its energy relative to the elements is -0.08 eV per atom. Its space group is Pmmm (47). The calculation puts the total DFT energy (no corrections) at -14.17 eV for the cell shown.

Cell: 4.931 6.111 10.336 Å, 90.00 90.00 90.00°
Fractional coordinates of all 12 atoms:
1 Sr 0.000 0.000 0.000
2 Tl 0.000 0.500 0.500
3 Cd 0.000 0.000 0.341
4 Cd 0.000 0.000 0.659
5 Cd 0.000 0.500 0.178
6 Cd 0.000 0.500 0.822
7 Cd 0.500 0.000 0.500
8 Cd 0.500 0.243 0.242
9 Cd 0.500 0.243 0.758
10 Cd 0.500 0.500 0.000
11 Cd 0.500 0.757 0.242
12 Cd 0.500 0.757 0.758



Entry 20:
VASP calculation (PBE) on crystalline SrTlCd6 at its relaxed geometry.

Calculated values
Its energy relative to the elements is -0.01 eV per atom. The calculation puts the energy above the most stable polymorph in this dataset at 10.1 kJ/mol of atoms. Its space group is Pm-3 (200). The calculation puts the total DFT energy (no corrections) at -9.61 eV for the cell shown.

Cell: 6.075 6.075 6.075 Å, 90.00 90.00 90.00°
Fractional coordinates of all 8 atoms:
1 Sr 0.000 0.000 0.000
2 Tl 0.500 0.500 0.500
3 Cd 0.000 0.253 0.500
4 Cd 0.000 0.747 0.500
5 Cd 0.253 0.500 0.000
6 Cd 0.500 0.000 0.253
7 Cd 0.500 0.000 0.747
8 Cd 0.747 0.500 0.000